This record from the Alexandria database describes a geometry-optimized Pu2MnTl3O9 structure. The functional is GGA+U.

The space group is P-3m1 (No. 164) and the conventional cell measures 6.0153, 6.0153 and 7.3893 Å, with angles of 90.00, 90.00 and 120.00 degrees. The inequivalent atoms are Pu at (0.3333, 0.6667, 0.1697), Mn at (0.0000, 0.0000, 0.5000), Tl at (0.0000, 0.0000, 0.0000), Tl at (0.3333, 0.6667, 0.6553), O at (0.0000, 0.5000, 0.0000) and O at (0.1743, 0.3486, 0.3237).

Its theoretical density is 9323 kg/m3. The value obtained for the total energy is -114.740 eV per cell.